Record 1
Material: Ga3IrS
Method: DFT, PBE
State: relaxed

The structure in CIF format:
```
data_Ga3IrS
_cell_length_a 4.800
_cell_length_b 4.800
_cell_length_c 4.800
_cell_angle_alpha 90.00
_cell_angle_beta 90.00
_cell_angle_gamma 90.00
_space_group_name_H-M_alt 'P m -3 m'
_space_group_IT_number 221
_space_group_name_Hall '-P 4 2 3'
loop_
_atom_site_label
_atom_site_type_symbol
_atom_site_fract_x
_atom_site_fract_y
_atom_site_fract_z
_atom_site_occupancy
Ga1 Ga 0.000 0.000 0.500 1
Ir1 Ir 0.000 0.000 0.000 1
S1 S 0.500 0.500 0.500 1
```

Calculated values
E_tot: -0.16628 hartree per atom

=====

Record 2
Material: Ac2NdMg
Method: DFT, PBE
State: relaxed

The structure in CIF format:
```
data_Ac2NdMg
_cell_length_a 3.8598
_cell_length_b 3.8598
_cell_length_c 35.7762
_cell_angle_alpha 90.00
_cell_angle_beta 90.00
_cell_angle_gamma 120.00
_space_group_name_H-M_alt 'R 3 m'
_space_group_IT_number 160
_space_group_name_Hall 'R 3 -2"'
loop_
_atom_site_label
_atom_site_type_symbol
_atom_site_fract_x
_atom_site_fract_y
_atom_site_fract_z
_atom_site_occupancy
Ac1 Ac 0.0000 0.0000 0.0000 1
Ac2 Ac 0.0000 0.0000 0.1741 1
Nd1 Nd 0.0000 0.0000 0.4199 1
Mg1 Mg 0.0000 0.0000 0.5872 1
```

Calculated values
energy of formation: 0.07 eV/atom

=====

Record 3
Material: Dy2Ga9Pd
Method: DFT, PBE
State: relaxed

The structure in CIF format:
```
data_Dy2Ga9Pd
_cell_length_a 4.246
_cell_length_b 4.246
_cell_length_c 12.366
_cell_angle_alpha 90.00
_cell_angle_beta 90.00
_cell_angle_gamma 90.00
_space_group_name_H-M_alt 'P 4/m m m'
_space_group_IT_number 123
_space_group_name_Hall '-P 4 2'
loop_
_atom_site_label
_atom_site_type_symbol
_atom_site_fract_x
_atom_site_fract_y
_atom_site_fract_z
_atom_site_occupancy
Dy1 Dy 0.000 0.000 0.180 1
Ga1 Ga 0.000 0.500 0.000 1
Ga2 Ga 0.000 0.500 0.355 1
Ga3 Ga 0.500 0.500 0.161 1
Ga4 Ga 0.500 0.500 0.500 1
Pd1 Pd 0.000 0.000 0.500 1
```

Calculated values
energy of formation: -0.43 eV/atom

=====

Record 4
Material: NdZnInPd
Method: DFT, PBE
State: relaxed

The structure in CIF format:
```
data_NdZnInPd
_cell_length_a 6.948
_cell_length_b 6.948
_cell_length_c 6.948
_cell_angle_alpha 90.00
_cell_angle_beta 90.00
_cell_angle_gamma 90.00
_space_group_name_H-M_alt 'F -4 3 m'
_space_group_IT_number 216
_space_group_name_Hall 'F -4 2 3'
loop_
_atom_site_label
_atom_site_type_symbol
_atom_site_fract_x
_atom_site_fract_y
_atom_site_fract_z
_atom_site_occupancy
Nd1 Nd 0.000 0.000 0.000 1
Zn1 Zn 0.250 0.250 0.250 1
In1 In 0.000 0.000 0.500 1
Pd1 Pd 0.250 0.250 0.750 1
```

Calculated values
energy of formation: -0.57 eV/atom

=====

| no. | N(E_F) (states/eV/f.u.) |
| --- | --- |
| 1 | 2.20 |
| 2 | 5.15 |
| 3 | 3.99 |
| 4 | 2.57 |